# HoMg5Sn6

A relaxed HoMg5Sn6 crystal (PBE-GGA, the Alexandria database).

```
12
Lattice="4.361 -0.023 1.453 0.041 8.709 0.014 -0.120 -0.011 7.631" Properties=species:S:1:pos:R:3 pbc="T T T"
Sn 2.211 6.444 0.737
Sn 0.680 6.493 5.330
Sn 3.602 2.181 3.768
Sn 0.660 2.193 5.324
Sn 3.622 6.481 3.774
Sn 2.191 2.242 0.730
Mg 1.435 4.343 3.032
Mg 1.405 -0.011 3.053
Mg 2.836 -0.023 6.031
Mg 0.021 4.354 0.007
Mg 2.847 4.331 6.066
Ho 0.000 0.000 0.000
```

Values from the calculation:
formation energy = -0.216 eV/atom
electronic total energy = -3.26 eV/atom
symmetry = Cmmm (65)
density of states at the Fermi level = 4.702 states/eV/f.u.